# 1
The following is a PBE calculation of VCuC2 after structural relaxation, from the Alexandria database.

- DOS(E_F): 4.70 states/eV/cell
- Energy above the most stable polymorph in this dataset: 0.00 eV per formula unit
- Calculated formation energy: 0.871 eV/atom

Cell lengths 5.437, 5.437, 5.437 Å; angles 130.08, 130.08, 73.28 degrees
Element x y z (fractional)
1 V 0.000 0.000 0.000
2 V 0.750 0.250 0.500
3 Cu 0.250 0.750 0.500
4 Cu 0.500 0.500 0.000
5 C 0.113 0.625 0.988
6 C 0.375 0.363 0.488
7 C 0.637 0.125 0.012
8 C 0.875 0.887 0.512

---

# 2
The following is a PBE calculation of PrErCrN4 after structural relaxation, from the Alexandria database.

- ΔE_f (raw): -1.103 eV per atom

Cell lengths 5.565, 5.516, 6.826 Å; angles 90.00, 108.03, 90.00 degrees
Element x y z (fractional)
1 Pr 0.224 0.250 0.433
2 Pr 0.776 0.750 0.567
3 Er 0.297 0.250 0.961
4 Er 0.703 0.750 0.039
5 Cr 0.256 0.750 0.188
6 Cr 0.744 0.250 0.812
7 N 0.057 0.750 0.342
8 N 0.078 0.750 0.935
9 N 0.467 0.505 0.240
10 N 0.467 0.995 0.240
11 N 0.533 0.005 0.760
12 N 0.533 0.495 0.760
13 N 0.922 0.250 0.065
14 N 0.943 0.250 0.658

---

# 3
The following is a PBE calculation of ReN after structural relaxation, from the Alexandria database.

- DOS(E_F): 5.56 states/eV/cell
- Energy above the most stable polymorph in this dataset: 0.90 eV per formula unit
- ΔE_f (raw): 0.493 eV per atom

Cell lengths 6.177, 6.177, 2.715 Å; angles 90.00, 90.00, 90.00 degrees
Element x y z (fractional)
1 Re 0.165 0.165 0.000
2 Re 0.335 0.665 0.500
3 Re 0.665 0.335 0.500
4 Re 0.835 0.835 0.000
5 N 0.161 0.839 0.000
6 N 0.339 0.339 0.500
7 N 0.661 0.661 0.500
8 N 0.839 0.161 0.000

---

no.,volume (Å³/cell)
1,91.9
2,199.2
3,103.6